(1)
The following is a PBE-GGA calculation of a geometry-optimized Pr3Al7Zn4 structure, from Alexandria.

## Properties
- Symmetry: No. 12
- ΔE_f: -0.40 eV per atom

Cell lengths 4.3421, 8.4138, 8.4771 Å; angles 72.77, 75.16, 75.05 degrees
Element x y z (fractional)
Pr1 0.3162 0.1791 0.1885
Pr2 0.6838 0.8209 0.8115
Pr3 0.0000 0.5000 0.5000
Al1 0.3336 0.8037 0.5291
Al2 0.4953 0.2218 0.7876
Al3 0.8485 0.3844 0.9186
Al4 0.6664 0.1963 0.4709
Al5 0.1515 0.6156 0.0814
Al6 0.0000 0.0000 0.0000
Al7 0.5047 0.7782 0.2124
Zn1 0.6608 0.4600 0.2184
Zn2 0.3392 0.5400 0.7816
Zn3 0.8655 0.9083 0.3607
Zn4 0.1345 0.0917 0.6393

(2)
The following is a PBE-GGA calculation of a geometry-optimized PtBr6N4 structure, from Alexandria.

## Properties
- Symmetry: No. 22
- Formation energy without anion corrections: 1378 meV per atom

Cell lengths 7.8271, 7.4818, 7.8767 Å; angles 61.21, 56.90, 61.88 degrees
Each line ends with the local moment (μB).
Element x y z (fractional)
Pt1 0.7500 0.7500 0.7500  -0.05
Br1 0.9935 0.9935 0.5065  0.01
Br2 0.5065 0.5065 0.9935  0.01
Br3 0.8676 0.8676 0.1324  0.00
Br4 0.1324 0.1324 0.8676  0.00
Br5 0.9897 0.5103 0.5103  0.00
Br6 0.5103 0.9897 0.9897  0.00
N1 0.5909 0.9091 0.5909  0.10
N2 0.1128 0.8872 0.1128  -0.03
N3 0.9091 0.5909 0.9091  0.10
N4 0.8872 0.1128 0.8872  -0.03

(3)
The following is a PBE-GGA calculation of a geometry-optimized TlSnSeBr structure, from Alexandria.

## Properties
- Symmetry: No. 160
- Formation energy without anion corrections: -582 meV per atom

Cell lengths 4.3458, 4.3453, 8.3939 Å; angles 89.99, 104.98, 120.07 degrees
Element x y z (fractional)
Tl1 0.4785 0.1374 0.6312
Sn1 0.1164 0.9564 0.0881
Se1 0.3249 0.5607 0.9007
Br1 0.9581 0.3763 0.3497